Record 1
A plane-wave DFT calculation with PBE-GGA was carried out for a relaxed structure of Rb2DyRuO6.

```
Rb2DyRuO6
1.0
6.3971 0.0000 0.0000
-3.1985 5.5400 0.0000
0.0000 0.0000 5.7398
Rb Dy Ru O
2 1 1 6
Direct
0.3333 0.6667 0.1285
0.6667 0.3333 0.8715
0.0000 0.0000 0.5000
0.0000 0.0000 0.0000
0.1371 0.2742 0.7940
0.1371 0.8629 0.7940
0.2742 0.1371 0.2060
0.7258 0.8629 0.7940
0.8629 0.1371 0.2060
0.8629 0.7258 0.2060
```

Results
The value obtained for the calculated volume is 20.34 A^3/atom. The raw formation energy comes out at -153 kJ/mol of atoms. The magnetization is 1.0 μB per formula unit.

---

Record 2
A plane-wave DFT calculation with PBE-GGA was carried out for a relaxed structure of HgC2.

```
HgC2
1.0
0.0000 3.3617 3.3617
3.3617 0.0000 3.3617
3.3617 3.3617 0.0000
Hg C
2 4
Direct
0.1250 0.1250 0.1250
0.8750 0.8750 0.8750
0.0000 0.5000 0.5000
0.5000 0.0000 0.5000
0.5000 0.5000 0.0000
0.5000 0.5000 0.5000
```

Results
The value obtained for the calculated volume is 12.66 A^3/atom. The calculation puts the formation energy at 3421 meV per atom. The magnetization is 0.0 μB per formula unit. The energy above the most stable polymorph in this dataset is 278.2 kJ/mol of atoms.

---

Record 3
A plane-wave DFT calculation with PBE-GGA was carried out for a relaxed structure of In2Hg4AsBr5.

```
In2Hg4AsBr5
1.0
9.2476 0.0000 0.0000
0.0000 6.9506 3.3355
0.0000 -6.9506 3.3355
In Hg As Br
2 4 1 5
Direct
0.0000 0.1890 0.8110
0.0000 0.8110 0.1890
0.3084 0.4255 0.4255
0.5000 0.3465 0.9496
0.5000 0.9496 0.3465
0.6916 0.4255 0.4255
0.5000 0.1453 0.1453
0.0000 0.2540 0.2540
0.2519 0.5523 0.8444
0.2519 0.8444 0.5523
0.7481 0.5523 0.8444
0.7481 0.8444 0.5523
```

Results
The value obtained for the calculated volume is 35.73 A^3/atom. The raw formation energy comes out at -34 kJ/mol of atoms. The magnetization is 0.0 μB per formula unit.

---

Record 4
A plane-wave DFT calculation with PBE-GGA was carried out for a relaxed structure of K2Cr2SnS6.

```
K2Cr2SnS6
1.0
3.1403 -5.4930 0.0000
3.1403 5.4930 0.0000
-2.0328 0.0000 7.4459
K Cr Sn S
2 2 1 6
Direct
0.1636 0.8364 0.0000
0.8364 0.1636 0.0000
0.3326 0.6674 0.5000
0.6674 0.3326 0.5000
0.0000 0.0000 0.5000
0.0574 0.4085 0.6784
0.2935 0.2935 0.3203
0.4085 0.0574 0.6784
0.5915 0.9426 0.3216
0.7065 0.7065 0.6797
0.9426 0.5915 0.3216
```

Results
The value obtained for the calculated volume is 23.35 A^3/atom. The raw formation energy comes out at -82 kJ/mol of atoms. The magnetization is 6.0 μB per formula unit.

---

Record 5
A plane-wave DFT calculation with PBE-GGA was carried out for a relaxed structure of Pu3I3N.

```
Pu3I3N
1.0
8.7518 0.0000 0.0000
0.0000 3.8447 0.0000
-0.3973 0.0000 11.9283
Pu I N
6 6 2
Direct
0.0873 0.2500 0.4043
0.1099 0.2500 0.8081
0.2979 0.7500 0.6132
0.7021 0.2500 0.3868
0.8901 0.7500 0.1919
0.9127 0.7500 0.5957
0.1491 0.2500 0.1225
0.3791 0.7500 0.8730
0.3864 0.7500 0.3622
0.6136 0.2500 0.6378
0.6209 0.2500 0.1270
0.8509 0.7500 0.8775
0.1126 0.2500 0.6082
0.8874 0.7500 0.3918
```

Results
The value obtained for the calculated volume is 28.67 A^3/atom. The raw formation energy comes out at -88 kJ/mol of atoms. The magnetization is 5.7 μB per formula unit.

---

Record 6
A plane-wave DFT calculation with PBE-GGA was carried out for a relaxed structure of Sr2MgPdPb.

```
Sr2MgPdPb
1.0
5.8401 0.0000 0.0000
0.0000 5.8401 0.0000
0.0000 0.0000 5.0123
Sr Mg Pd Pb
2 1 1 1
Direct
0.0000 0.5000 0.0000
0.5000 0.0000 0.0000
0.0000 0.0000 0.5000
0.0000 0.0000 0.0000
0.5000 0.5000 0.5000
```

Results
The value obtained for the calculated volume is 34.19 A^3/atom. The calculation puts the formation energy at -357 meV per atom. The magnetization is 0.0 μB per formula unit.

---

Number 1: calculated density 4.3 Mg/m³. Number 2: calculated density 9.8 Mg/m³. Number 3: calculated density 5.8 Mg/m³. Number 4: calculated density 3.2 Mg/m³. Number 5: calculated density 9.3 Mg/m³. Number 6: calculated density 5.0 Mg/m³.